Entry 1:
# PBE-GGA Pm2AgHg2, optimized geometry
# ρ (g cm⁻³): 10.12
# Calculated formation energy (eV per atom): -0.271
# Total moment (μB per atom): 0.00
# Polymorph energy (0 for the lowest one) (eV per atom): 0.088
data_Pm2AgHg2
_chemical_formula_sum 'Pm4 Ag2 Hg4'
_cell_length_a 10.3161
_cell_length_b 4.1061
_cell_length_c 8.0574
_cell_angle_alpha 90.00
_cell_angle_beta 129.77
_cell_angle_gamma 90.00
_space_group_name_H-M_alt 'C 1 2/m 1'
_space_group_IT_number 12
_space_group_name_Hall '-C 2y'
loop_
_atom_site_label
_atom_site_type_symbol
_atom_site_fract_x
_atom_site_fract_y
_atom_site_fract_z
_atom_site_occupancy
Pm1 Pm 0.2018 0.0000 0.2872 1
Ag1 Ag 0.0000 0.0000 0.5000 1
Hg1 Hg 0.0905 0.5000 0.8773 1


Entry 2:
# PBE-GGA Pm8Ag2Hg, optimized geometry
# ρ (g cm⁻³): 7.78
# Calculated formation energy (eV per atom): -0.144
# Total moment (μB per atom): 0.00
# Polymorph energy (0 for the lowest one) (eV per atom): 0.009
data_Pm8Ag2Hg
_chemical_formula_sum 'Pm16 Ag4 Hg2'
_cell_length_a 18.4000
_cell_length_b 5.2972
_cell_length_c 7.2404
_cell_angle_alpha 90.00
_cell_angle_beta 107.47
_cell_angle_gamma 90.00
_space_group_name_H-M_alt 'C 1 2/m 1'
_space_group_IT_number 12
_space_group_name_Hall '-C 2y'
loop_
_atom_site_label
_atom_site_type_symbol
_atom_site_fract_x
_atom_site_fract_y
_atom_site_fract_z
_atom_site_occupancy
Pm1 Pm 0.0270 0.0000 0.2671 1
Pm2 Pm 0.0916 0.5000 0.9634 1
Pm3 Pm 0.1697 0.5000 0.4777 1
Pm4 Pm 0.1961 0.0000 0.8183 1
Ag1 Ag 0.1825 0.0000 0.2176 1
Hg1 Hg 0.0000 0.5000 0.5000 1